Record 1
A relaxed MgPt2Au crystal. Source: the Alexandria database, functional PBE.

a b c (Å): 4.0141 2.8609 6.3905
angles (deg): 63.39 90.00 90.00
Atoms (fractional coordinates):
Mg (0.5000, 0.7408, 0.7592)
Pt (0.0000, 0.0049, 0.9951)
Pt (0.5000, 0.2554, 0.2446)
Au (0.0000, 0.4990, 0.5011)

Calculated values
V: 16.40 A^3/atom
ΔH_f (0 K): -0.4105 eV/atom
M_tot: 0.00 Bohr magnetons per cell

---

Record 2
A relaxed AlAs2Rh crystal. Source: the Alexandria database, functional PBE.

a b c (Å): 5.9108 5.9108 5.9108
angles (deg): 151.81 134.53 54.36
Atoms (fractional coordinates):
As (0.6994, 0.1994, 0.5000)
As (0.0254, 0.0254, 0.0000)
Rh (0.4884, 0.4884, 0.0000)
Al (0.2869, 0.7869, 0.5000)

Calculated values
V: 17.29 A^3/atom
ΔH_f (0 K): -0.0759 eV/atom
M_tot: 0.00 Bohr magnetons per cell

---

Record 3
A relaxed Al4SbW crystal. Source: the Alexandria database, functional PBE.

a b c (Å): 5.2255 5.2255 5.2255
angles (deg): 60.00 60.00 60.00
Atoms (fractional coordinates):
Al (0.3736, 0.8792, 0.3736)
Al (0.3736, 0.3736, 0.3736)
Al (0.3736, 0.3736, 0.8792)
Al (0.8792, 0.3736, 0.3736)
Sb (0.7500, 0.7500, 0.7500)
W (0.0000, 0.0000, 0.0000)

Calculated values
formation energy (no corrections): 248 meV per atom
V: 16.82 A^3/atom
M_tot: 0.00 Bohr magnetons per cell

---

Record 4
A relaxed KCr2Cu crystal. Source: the Alexandria database, functional PBE.

a b c (Å): 2.5013 2.5013 10.2171
angles (deg): 90.00 90.00 103.00
Atoms (fractional coordinates):
Cr (0.0000, 0.0000, 0.4494)
Cr (0.0000, 0.0000, 0.0506)
Cu (0.5000, 0.5000, 0.2500)
K (0.5000, 0.5000, 0.7500)

Calculated values
V: 15.57 A^3/atom
ΔH_f (0 K): 1.1612 eV/atom
M_tot: 0.01 Bohr magnetons per cell

---

Record 5
A relaxed Sm9Y2Er crystal. Source: the Alexandria database, functional PBE.

a b c (Å): 3.5297 11.4061 11.4061
angles (deg): 120.00 90.00 90.00
Atoms (fractional coordinates):
Sm (0.5000, 0.6524, 0.8262)
Sm (0.0000, 0.5000, 0.0000)
Sm (0.5000, 0.8262, 0.1738)
Sm (0.5000, 0.1738, 0.8262)
Sm (0.0000, 0.5000, 0.5000)
Sm (0.5000, 0.1738, 0.3476)
Sm (0.0000, 0.0000, 0.5000)
Sm (0.5000, 0.3476, 0.1738)
Sm (0.5000, 0.8262, 0.6524)
Er (0.0000, 0.0000, 0.0000)
Y (0.0000, 0.6667, 0.3333)
Y (0.0000, 0.3333, 0.6667)

Calculated values
V: 33.14 A^3/atom
ΔH_f (0 K): 0.0486 eV/atom
M_tot: 0.00 Bohr magnetons per cell

---

Record 6
A relaxed SrCa2Be crystal. Source: the Alexandria database, functional PBE.

a b c (Å): 5.6890 5.6892 5.6887
angles (deg): 120.08 120.08 89.92
Atoms (fractional coordinates):
Be (0.7501, 0.2499, 0.5000)
Ca (0.2500, 0.7500, 0.5000)
Ca (0.0000, 0.0000, 0.0000)
Sr (0.4999, 0.5001, 0.0000)

Calculated values
V: 32.50 A^3/atom
ΔH_f (0 K): 0.4352 eV/atom
M_tot: 0.00 Bohr magnetons per cell

---

Record 7
A relaxed Cr2CoAu crystal. Source: the Alexandria database, functional PBE.

a b c (Å): 2.6243 2.6243 7.5645
angles (deg): 90.00 90.00 90.00
Atoms (fractional coordinates):
Co (0.5000, 0.5000, 0.7831)
Cr (0.0000, 0.0000, 0.9835)
Cr (0.5000, 0.5000, 0.2285)
Au (0.0000, 0.0000, 0.5049)

Calculated values
V: 13.02 A^3/atom
ΔH_f (0 K): 0.2994 eV/atom
M_tot: 0.28 Bohr magnetons per cell

---

Record 8
A relaxed La2Ho6Er3 crystal. Source: the Alexandria database, functional PBE.

a b c (Å): 6.0823 6.0855 11.7803
angles (deg): 85.03 80.01 60.02
Atoms (fractional coordinates):
Ho (0.2520, 0.0000, 0.2433)
Ho (0.0813, 0.3333, 0.7568)
Ho (0.4146, 0.6667, 0.7568)
Ho (0.5854, 0.3333, 0.2432)
Ho (0.9187, 0.6667, 0.2432)
Ho (0.7480, 0.0000, 0.7567)
Er (0.3346, 0.3308, 0.0000)
Er (0.6654, 0.6692, 0.0000)
Er (0.0000, 0.0000, 0.0000)
La (0.8328, 0.3345, 0.5000)
La (0.1672, 0.6655, 0.5000)

Calculated values
V: 33.81 A^3/atom
ΔH_f (0 K): 0.1827 eV/atom
M_tot: 0.01 Bohr magnetons per cell